LiFeSi2O6 | PBE+U | relaxed

Output
Magnetic moment = 4.95 μB per formula unit
Crystal system = orthorhombic
Electronic total energy = -287.6 eV for the cell shown
ρ = 2.48 Mg/m³
DOS at the Fermi energy = 0.0000 states/eV/atom
ΔE to the lowest computed polymorph = 17 meV/atom
Space group = C222_1 (20)
Volume = 575.2 Å³/cell

a = 7.8087 Å, b = 7.8095 Å, c = 9.4330 Å
α = 90.00°, β = 90.00°, γ = 89.11°
Site moments in Bohr magnetons follow the coordinates.
Atoms (fractional coordinates):
O1 0.1294 0.0881 0.6874  0.10
O2 0.3120 0.3704 0.8593  0.12
O3 0.6128 0.3799 0.5447  0.01
Fe1 0.3167 0.1189 0.2416  4.32
O4 0.1403 0.7582 0.6219  0.01
O5 0.2417 0.8599 0.8783  0.01
O6 0.6300 0.6882 0.6402  0.12
Li1 0.3200 0.6801 0.2501  0.00
O7 0.0877 0.6445 0.3548  0.11
Si1 0.8953 0.1046 0.2500  0.01
O8 0.6442 0.0878 0.6453  0.11
Fe2 0.1189 0.3167 0.7583  4.32
Si2 0.1772 0.6054 0.5083  0.01
O9 0.3873 0.6202 0.0448  0.01
Si3 0.8228 0.3946 0.0083  0.01
O10 0.4196 0.1323 0.4253  0.10
O11 0.8598 0.2418 0.1219  0.01
O12 0.8680 0.5804 0.0747  0.10
O13 0.7583 0.1401 0.3783  0.01
Li2 0.8213 0.8212 0.0000  0.00
O14 0.9118 0.8708 0.8126  0.10
O15 0.3698 0.3117 0.1401  0.12
O16 0.6880 0.6298 0.3594  0.12
O17 0.1320 0.4196 0.5747  0.10
Li3 0.6800 0.3199 0.7501  0.00
Si4 0.3946 0.8227 0.9918  0.01
O18 0.9123 0.3555 0.8548  0.11
O19 0.8706 0.9118 0.1874  0.10
O20 0.3798 0.6125 0.4553  0.01
O21 0.0882 0.1292 0.3126  0.10
Fe3 0.8811 0.6833 0.2584  4.32
Si5 0.6054 0.1773 0.4918  0.01
Si6 0.5823 0.5823 0.4999  0.02
Si7 0.4177 0.4178 0.9999  0.02
O22 0.5804 0.8677 0.9253  0.10
Fe4 0.6833 0.8811 0.7416  4.32
O23 0.3558 0.9122 0.1453  0.11
Li4 0.1787 0.1787 0.5000  0.00
Si8 0.1047 0.8954 0.7500  0.01
O24 0.6202 0.3874 0.9553  0.01